Crystalline NpUCrFe at its relaxed geometry. Source: Alexandria via LeMat-Bulk, functional PBE-GGA.

abc: 4.4563 4.4563 4.4563
angles: 60.00 60.00 60.00
Each line ends with the local moment (μB).
Positions (direct):
Cr 0.7500 0.7500 0.7500  2.04
Np 0.2500 0.2500 0.2500  -2.44
U 0.5000 0.5000 0.5000  -0.76
Fe 0.0000 0.0000 0.0000  1.89

Results
E_tot (eV/atom): -10.509
Formation enthalpy at 0 K (meV per atom): 70
Mass density (g/cm³): 15.47